(1)
DFT (PBE) results for crystalline Ni2Ag2As at its relaxed geometry.

```
5
Lattice="-1.6298 1.6298 7.8422 1.6298 -1.6298 7.8422 1.6298 1.6298 -7.8422" Properties=species:S:1:pos:R:3 pbc="T T T"
Ni 1.6298 0.0000 3.9211
Ni 0.0000 1.6298 3.9211
Ag 0.0000 0.0000 1.7320
Ag 0.0000 0.0000 13.9524
As 0.0000 0.0000 7.8422
```

Results
**E above lowest polymorph**: 0.378 eV per atom
**Energy of formation from the pure elements**: 0.43 eV/atom
**E_tot**: -3.95 eV/atom



(2)
DFT (PBE) results for crystalline NiAgAs at its relaxed geometry.

```
3
Lattice="-1.4932 1.4932 5.3746 1.4932 -1.4932 5.3746 1.4932 1.4932 -5.3746" Properties=species:S:1:pos:R:3 pbc="T T T"
Ni 0.0000 0.0000 0.0000
Ag 0.0000 0.0000 7.2635
As 0.0000 0.0000 4.1958
```

Results
**E above lowest polymorph**: 0.064 eV per atom
**Energy of formation from the pure elements**: 0.01 eV/atom
**E_tot**: -4.42 eV/atom



| no. | total moment (μB/atom) |
| --- | --- |
| 1 | 0.222 |
| 2 | 0.000 |